Computed, not measured: an optimized crystal structure of AgBrF at the PBE-GGA level of DFT.

Unit cell a=4.407 b=4.407 c=4.407 alpha=60.00 beta=60.00 gamma=60.00
Each line ends with the local moment (μB).
Atoms (fractional coordinates):
Br  0.000  0.000  0.000  0.37
Ag  0.250  0.250  0.250  0.33
F  0.500  0.500  0.500  0.25

Summary:
**Density**: 5673 kg/m³
**Relative energy among the computed polymorphs**: 68 kJ/mol of formula units
**E_form (uncorrected)**: -0.445 eV per atom

Computed, not measured: an optimized crystal structure of Ag2BrF at the PBE-GGA level of DFT.

Unit cell a=3.858 b=3.858 c=6.620 alpha=73.06 beta=73.06 gamma=60.00
Atoms (fractional coordinates):
Ag  0.068  0.068  0.795
F  0.670  0.670  0.989
Br  0.498  0.498  0.506
Ag  0.263  0.263  0.211

Summary:
**Density**: 6503 kg/m³
**Relative energy among the computed polymorphs**: 20 kJ/mol of formula units
**E_form (uncorrected)**: -0.592 eV per atom

Computed, not measured: an optimized crystal structure of AgBrF5 at the PBE-GGA level of DFT.

Unit cell a=5.985 b=5.954 c=7.717 alpha=106.83 beta=92.37 gamma=95.76
Atoms (fractional coordinates):
Ag  0.999  0.501  0.499
F  0.717  0.230  0.870
F  0.608  0.280  0.548
F  0.281  0.773  0.129
F  0.837  0.748  0.392
F  0.713  0.764  0.034
Br  0.549  0.750  0.252
F  0.285  0.238  0.965
Br  0.450  0.253  0.746
Ag  0.999  0.001  0.999
F  0.968  0.248  0.248
F  0.030  0.754  0.751
F  0.390  0.722  0.451
F  0.161  0.255  0.607

Summary:
**Density**: 3596 kg/m³
**E_form (uncorrected)**: -1.025 eV per atom

Computed, not measured: an optimized crystal structure of Ag3BrF7 at the PBE-GGA level of DFT.

Unit cell a=7.288 b=8.020 c=6.287 alpha=40.76 beta=54.57 gamma=62.98
Atoms (fractional coordinates):
Ag  0.071  0.256  0.602
F  0.971  0.029  0.613
Br  0.698  0.585  0.018
F  0.754  0.487  0.571
Ag  0.083  0.758  0.592
F  0.413  0.884  0.290
F  0.928  0.009  0.135
F  0.188  0.487  0.571
Ag  0.567  0.758  0.592
F  0.215  0.500  0.070
F  0.387  0.029  0.613

Summary:
**Density**: 4559 kg/m³
**E_form (uncorrected)**: -0.960 eV per atom

Computed, not measured: an optimized crystal structure of Ag3BrF3 at the PBE-GGA level of DFT.

Unit cell a=6.890 b=6.890 c=7.501 alpha=62.66 beta=62.66 gamma=60.00
Atoms (fractional coordinates):
Br  0.332  0.332  0.005
Ag  0.557  0.923  0.262
F  0.128  0.392  0.657
F  0.608  0.177  0.343
F  0.872  0.608  0.343
Ag  0.443  0.077  0.738
F  0.823  0.128  0.657
Ag  0.923  0.258  0.262
F  0.392  0.823  0.657
Ag  0.077  0.742  0.738
Br  0.668  0.668  0.995
Ag  0.258  0.557  0.262
F  0.177  0.872  0.343
Ag  0.742  0.443  0.738

Summary:
**Density**: 5850 kg/m³
**Relative energy among the computed polymorphs**: 10 kJ/mol of formula units
**E_form (uncorrected)**: -0.865 eV per atom

Computed, not measured: an optimized crystal structure of Ag12Br3F5 at the PBE-GGA level of DFT.

Unit cell a=13.130 b=13.130 c=13.130 alpha=109.47 beta=109.47 gamma=109.47
Atoms (fractional coordinates):
Ag  0.433  0.414  0.617
Ag  0.883  0.817  0.797
Ag  0.414  0.433  0.117
Ag  0.883  0.067  0.586
F  0.625  0.875  0.250
Ag  0.980  0.414  0.297
F  0.625  0.750  0.875
Ag  0.020  0.433  0.817
Br  0.250  0.625  0.875
F  0.875  0.250  0.625
Ag  0.383  0.297  0.317
F  0.250  0.875  0.125
Br  0.125  0.250  0.875
Ag  0.086  0.703  0.520
Ag  0.817  0.883  0.297
Ag  0.617  0.914  0.433
Ag  0.414  0.980  0.797
F  0.250  0.375  0.625
F  0.875  0.625  0.750
Br  0.375  0.750  0.625
F  0.000  0.500  0.500
Ag  0.933  0.117  0.914
Ag  0.020  0.586  0.703
Br  0.125  0.875  0.750
Ag  0.203  0.683  0.117
F  0.000  0.000  0.000
Ag  0.586  0.567  0.883
Ag  0.183  0.117  0.703
Ag  0.520  0.203  0.086
Br  0.375  0.625  0.250
Br  0.750  0.375  0.125
Ag  0.297  0.914  0.980
F  0.000  0.500  0.000
Ag  0.117  0.183  0.203
Ag  0.567  0.586  0.383
Ag  0.183  0.067  0.980
F  0.125  0.375  0.250
Br  0.250  0.125  0.375
Ag  0.203  0.520  0.586
F  0.500  0.500  0.500
Ag  0.067  0.883  0.086
Ag  0.683  0.203  0.617
Ag  0.617  0.703  0.683
Ag  0.933  0.817  0.520
Ag  0.683  0.480  0.567
Br  0.625  0.250  0.375
Ag  0.086  0.383  0.067
F  0.375  0.250  0.125
Ag  0.067  0.183  0.480
F  0.000  0.000  0.500
Ag  0.297  0.383  0.817
F  0.750  0.625  0.375
Ag  0.703  0.086  0.020
Ag  0.914  0.297  0.480
Ag  0.586  0.020  0.203
Br  0.875  0.750  0.125
Ag  0.520  0.317  0.933
Ag  0.703  0.617  0.183
Ag  0.980  0.567  0.183
Ag  0.433  0.020  0.317
F  0.125  0.750  0.375
Ag  0.383  0.086  0.567
Ag  0.797  0.317  0.883
Br  0.625  0.375  0.750
F  0.500  0.000  0.500
Ag  0.117  0.933  0.414
Ag  0.914  0.617  0.933
Ag  0.317  0.520  0.433
F  0.500  0.000  0.000
Ag  0.480  0.683  0.067
F  0.500  0.500  0.000
Br  0.750  0.875  0.625
F  0.750  0.125  0.875
Ag  0.567  0.980  0.683
Ag  0.797  0.480  0.414
Ag  0.480  0.797  0.914
Ag  0.817  0.933  0.020
Ag  0.317  0.797  0.383
Br  0.875  0.125  0.250
F  0.375  0.125  0.750

Summary:
**Density**: 6210 kg/m³
**E_form (uncorrected)**: -0.358 eV per atom